(1)
The following is a GGA-PBE calculation of a relaxed structure of ZrBeBr2, from the Alexandria database.

Output
Energy relative to the lowest polymorph listed for this composition, meV per atom: 441.5
Calculated total energy, eV/atom: -3.9765
Magnetic moment, Bohr magnetons per cell: 0.00
Raw formation energy, eV per atom: -0.0715
Calculated volume, Å³ per cell: 249

Unit cell a=3.3658 b=3.3658 c=25.3771 alpha=90.00 beta=90.00 gamma=120.00
Last column: nearest neighbours and their distance in Å.
Space group R-3m (No. 166, hexagonal axes)
Inequivalent atoms, fractional coordinates:
Zr1 0.0000 0.0000 0.0000 [3 per cell]  2 Br 2.82
Be1 0.0000 0.0000 0.5000 [3 per cell]  6 Br 2.40
Br1 0.0000 0.0000 0.1112 [6 per cell]  3 Be 2.40

(2)
The following is a GGA-PBE calculation of a relaxed structure of ZrBeBr2, from the Alexandria database.

Output
Energy relative to the lowest polymorph listed for this composition, meV per atom: 681.0
Calculated total energy, eV/atom: -3.7370
Magnetic moment, Bohr magnetons per cell: 0.00
Raw formation energy, eV per atom: 0.1680
Calculated volume, Å³ per cell: 158

Unit cell a=4.3902 b=4.3902 c=8.2108 alpha=90.00 beta=90.00 gamma=90.00
Last column: nearest neighbours and their distance in Å.
Space group I4/mmm (No. 139)
Inequivalent atoms, fractional coordinates:
Zr1 0.0000 0.0000 0.0000 [2 per cell]  8 Br 3.01, 4 Be 3.10
Be1 0.0000 0.0000 0.5000 [2 per cell]  8 Br 3.01, 4 Zr 3.10
Br1 0.0000 0.5000 0.2500 [4 per cell]  4 Zr 3.01, 4 Be 3.01, 4 Br 3.10

- Which of these has the highest calculated total energy?
  number 2

- Which of these has the highest energy relative to the lowest polymorph listed for this composition?
  number 2

Repeat the first record exactly.
The following is a GGA-PBE calculation of a relaxed structure of ZrBeBr2, from the Alexandria database.

Output
Energy relative to the lowest polymorph listed for this composition, meV per atom: 441.5
Calculated total energy, eV/atom: -3.9765
Magnetic moment, Bohr magnetons per cell: 0.00
Raw formation energy, eV per atom: -0.0715
Calculated volume, Å³ per cell: 249

Unit cell a=3.3658 b=3.3658 c=25.3771 alpha=90.00 beta=90.00 gamma=120.00
Last column: nearest neighbours and their distance in Å.
Space group R-3m (No. 166, hexagonal axes)
Inequivalent atoms, fractional coordinates:
Zr1 0.0000 0.0000 0.0000 [3 per cell]  2 Br 2.82
Be1 0.0000 0.0000 0.5000 [3 per cell]  6 Br 2.40
Br1 0.0000 0.0000 0.1112 [6 per cell]  3 Be 2.40

What did the second record say?
The following is a GGA-PBE calculation of a relaxed structure of ZrBeBr2, from the Alexandria database.

Output
Energy relative to the lowest polymorph listed for this composition, meV per atom: 681.0
Calculated total energy, eV/atom: -3.7370
Magnetic moment, Bohr magnetons per cell: 0.00
Raw formation energy, eV per atom: 0.1680
Calculated volume, Å³ per cell: 158

Unit cell a=4.3902 b=4.3902 c=8.2108 alpha=90.00 beta=90.00 gamma=90.00
Last column: nearest neighbours and their distance in Å.
Space group I4/mmm (No. 139)
Inequivalent atoms, fractional coordinates:
Zr1 0.0000 0.0000 0.0000 [2 per cell]  8 Br 3.01, 4 Be 3.10
Be1 0.0000 0.0000 0.5000 [2 per cell]  8 Br 3.01, 4 Zr 3.10
Br1 0.0000 0.5000 0.2500 [4 per cell]  4 Zr 3.01, 4 Be 3.01, 4 Br 3.10